## Sc2NiOs (GGA-PBEsol)

Data for Sc2NiOs after structural relaxation.

## Properties
offset from the most stable computed form: 0 meV/atom
energy relative to the elements: -46.84 kJ/mol of atoms

abc: 4.4592 4.4592 4.4592
angles: 60.00 60.00 60.00
Positions (direct):
Sc  0.2500  0.2500  0.2500
Sc  0.7500  0.7500  0.7500
Ni  0.0000  0.0000  0.0000
Os  0.5000  0.5000  0.5000

=====

## ScNi2OsW (GGA-PBEsol)

Data for ScNi2OsW after structural relaxation.

## Properties
energy relative to the elements: 181.71 kJ/mol of atoms

abc: 4.0628 4.0628 4.7639
angles: 90.00 90.00 90.00
Positions (direct):
Sc  0.0000  0.0000  0.0000
Ni  0.0000  0.5000  0.0000
Ni  0.5000  0.0000  0.0000
Os  0.5000  0.5000  0.5000
W  0.0000  0.0000  0.5000

=====

## Ni3OsSe (GGA-PBEsol)

Data for Ni3OsSe after structural relaxation.

## Properties
formation energy (no corrections): 1.119 eV/atom

abc: 4.1785 4.1785 4.1785
angles: 90.00 90.00 90.00
Positions (direct):
Ni  0.0000  0.0000  0.5000
Ni  0.0000  0.5000  0.0000
Ni  0.5000  0.0000  0.0000
Os  0.5000  0.5000  0.5000
Se  0.0000  0.0000  0.0000

=====

## NiOsSe (GGA-PBEsol)

Data for NiOsSe after structural relaxation.

## Properties
formation energy (no corrections): 0.422 eV/atom

abc: 4.0470 4.0470 4.0470
angles: 60.00 60.00 60.00
Positions (direct):
Ni  0.0000  0.0000  0.0000
Os  0.7500  0.7500  0.7500
Se  0.5000  0.5000  0.5000

=====

## NiOsSe2 (GGA-PBEsol)

Data for NiOsSe2 after structural relaxation.

## Properties
formation energy (no corrections): 0.922 eV/atom
offset from the most stable computed form: 463 meV/atom

abc: 4.3884 4.3884 4.3884
angles: 60.00 60.00 60.00
Positions (direct):
Ni  0.0000  0.0000  0.0000
Os  0.2500  0.2500  0.2500
Se  0.5000  0.5000  0.5000
Se  0.7500  0.7500  0.7500

=====

## NiOsSe2 (GGA-PBEsol)

Data for NiOsSe2 after structural relaxation.

## Properties
formation energy (no corrections): 0.460 eV/atom
offset from the most stable computed form: 0 meV/atom

abc: 2.8166 2.8166 9.2246
angles: 90.00 90.00 117.91
Positions (direct):
Ni  0.0000  0.0000  0.0000
Os  0.5000  0.5000  0.2269
Se  0.0000  0.0000  0.4474
Se  0.5000  0.5000  0.7993

=====

## SiNiOs2 (GGA-PBEsol)

Data for SiNiOs2 after structural relaxation.

## Properties
formation energy (no corrections): 0.277 eV/atom

abc: 2.6699 2.6699 8.2163
angles: 90.00 90.00 117.07
Positions (direct):
Si  0.0000  0.0000  0.0000
Ni  0.5000  0.5000  0.7866
Os  0.0000  0.0000  0.5212
Os  0.5000  0.5000  0.2398

=====

## SiNiOs2 (GGA-PBEsol)

Data for SiNiOs2 after structural relaxation.

## Properties
formation energy (no corrections): -0.056 eV/atom

abc: 2.7323 3.6414 5.1254
angles: 90.00 90.00 90.00
Positions (direct):
Si  0.0000  0.0000  0.0000
Ni  0.5000  0.5000  0.2190
Os  0.0000  0.0000  0.4769
Os  0.5000  0.5000  0.7238

=====

## SiNiOs2 (GGA-PBEsol)

Data for SiNiOs2 after structural relaxation.

## Properties
formation energy (no corrections): -0.163 eV/atom

abc: 4.1254 4.1254 2.8992
angles: 90.00 90.00 90.00
Positions (direct):
Si  0.0000  0.0000  0.0000
Ni  0.5000  0.5000  0.0000
Os  0.0000  0.5000  0.5000
Os  0.5000  0.0000  0.5000

=====

## SiNiOs2 (GGA-PBEsol)

Data for SiNiOs2 after structural relaxation.

## Properties
formation energy (no corrections): 0.018 eV/atom

abc: 2.7397 3.7688 5.1027
angles: 90.00 101.01 90.00
Positions (direct):
Si  0.0000  0.0000  0.0000
Ni  0.0000  0.0000  0.5000
Os  0.3661  0.5000  0.2447
Os  0.6339  0.5000  0.7553

=====

## Si2NiOs (GGA-PBEsol)

Data for Si2NiOs after structural relaxation.

## Properties
formation energy (no corrections): -0.474 eV/atom

abc: 4.4133 4.4133 4.1147
angles: 104.84 104.84 39.13
Positions (direct):
Si  0.0000  0.0000  0.0000
Si  0.2435  0.2435  0.6415
Ni  0.7359  0.7359  0.1115
Os  0.5054  0.5054  0.5056

=====

## Si4NiOs (GGA-PBEsol)

Data for Si4NiOs after structural relaxation.

## Properties
formation energy (no corrections): 0.483 eV/atom

abc: 4.7505 4.7505 4.7505
angles: 60.00 60.00 60.00
Positions (direct):
Si  0.1251  0.1251  0.1251
Si  0.1251  0.1251  0.6248
Si  0.1251  0.6248  0.1251
Si  0.6248  0.1251  0.1251
Ni  0.5000  0.5000  0.5000
Os  0.7500  0.7500  0.7500

=====

Taking the records one at a time from the top gives size of the total moment values of 0.0001, 0.0001, 0.3845, 0.0001, 0.0005, 0.0006, 0.0000, 0.0001, 0.0001, 0.0004, 0.0000, 0.0001 μB per atom.